# 1
Material: Sr2LiFeBi
Method: DFT, GGA-PBE
State: relaxed

E (eV/atom): -3.31
DOS at the Fermi energy (states/eV/cell): 3.75
Formation enthalpy at 0 K (eV per atom): 0.214
Space-group type: P4/mmm

CIF file:
```
data_Sr2LiFeBi
_chemical_formula_sum 'Sr2 Li1 Fe1 Bi1'
_cell_length_a 5.7117
_cell_length_b 5.7117
_cell_length_c 4.8855
_cell_angle_alpha 90.00
_cell_angle_beta 90.00
_cell_angle_gamma 90.00
_symmetry_space_group_name_H-M 'P 1'
_symmetry_Int_Tables_number 1
loop_
_symmetry_equiv_pos_as_xyz
'x,y,z'
loop_
_atom_site_label
_atom_site_type_symbol
_atom_site_fract_x
_atom_site_fract_y
_atom_site_fract_z
Sr1 Sr 0.0000 0.5000 0.0000
Sr2 Sr 0.5000 0.0000 0.0000
Li1 Li 0.0000 0.0000 0.5000
Fe1 Fe 0.0000 0.0000 0.0000
Bi1 Bi 0.5000 0.5000 0.5000
```

=====

# 2
Material: La12TbPm6
Method: DFT, GGA-PBE
State: relaxed

E (eV/atom): -4.75
DOS at the Fermi energy (states/eV/cell): 26.48
Formation enthalpy at 0 K (eV per atom): 0.110
Space-group type: R-3m

CIF file:
```
data_La12TbPm6
_chemical_formula_sum 'La12 Tb1 Pm6'
_cell_length_a 8.9860
_cell_length_b 8.9860
_cell_length_c 8.9860
_cell_angle_alpha 98.48
_cell_angle_beta 98.48
_cell_angle_gamma 98.48
_symmetry_space_group_name_H-M 'P 1'
_symmetry_Int_Tables_number 1
loop_
_symmetry_equiv_pos_as_xyz
'x,y,z'
loop_
_atom_site_label
_atom_site_type_symbol
_atom_site_fract_x
_atom_site_fract_y
_atom_site_fract_z
La1 La 0.0000 0.2618 0.7382
La2 La 0.0000 0.7382 0.2618
La3 La 0.1666 0.5835 0.5835
La4 La 0.2618 0.0000 0.7382
La5 La 0.2618 0.7382 0.0000
La6 La 0.4165 0.4165 0.8334
La7 La 0.4165 0.8334 0.4165
La8 La 0.5835 0.1666 0.5835
La9 La 0.5835 0.5835 0.1666
La10 La 0.7382 0.0000 0.2618
La11 La 0.7382 0.2618 0.0000
La12 La 0.8334 0.4165 0.4165
Tb1 Tb 0.0000 0.0000 0.0000
Pm1 Pm 0.1413 0.1413 0.4073
Pm2 Pm 0.1413 0.4073 0.1413
Pm3 Pm 0.4073 0.1413 0.1413
Pm4 Pm 0.5927 0.8587 0.8587
Pm5 Pm 0.8587 0.5927 0.8587
Pm6 Pm 0.8587 0.8587 0.5927
```

=====

# 3
Material: Pm2Pr2Sm3
Method: DFT, GGA-PBE
State: relaxed

E (eV/atom): -4.59
DOS at the Fermi energy (states/eV/cell): 22.18
Formation enthalpy at 0 K (eV per atom): 0.154
Space-group type: P2_1/c

CIF file:
```
data_Pm2Pr2Sm3
_chemical_formula_sum 'Pm4 Pr4 Sm6'
_cell_length_a 6.5521
_cell_length_b 12.6740
_cell_length_c 7.0994
_cell_angle_alpha 90.00
_cell_angle_beta 122.71
_cell_angle_gamma 90.00
_symmetry_space_group_name_H-M 'P 1'
_symmetry_Int_Tables_number 1
loop_
_symmetry_equiv_pos_as_xyz
'x,y,z'
loop_
_atom_site_label
_atom_site_type_symbol
_atom_site_fract_x
_atom_site_fract_y
_atom_site_fract_z
Pm1 Pm 0.0868 0.1134 0.4356
Pm2 Pm 0.0868 0.3866 0.9356
Pm3 Pm 0.9132 0.6134 0.0644
Pm4 Pm 0.9132 0.8866 0.5644
Pr1 Pr 0.5002 0.2065 0.3383
Pr2 Pr 0.5002 0.2935 0.8383
Pr3 Pr 0.4998 0.7065 0.1617
Pr4 Pr 0.4998 0.7935 0.6617
Sm1 Sm 0.0846 0.6136 0.6501
Sm2 Sm 0.0846 0.8864 0.1501
Sm3 Sm 0.5000 0.0000 0.0000
Sm4 Sm 0.5000 0.5000 0.5000
Sm5 Sm 0.9154 0.1136 0.8499
Sm6 Sm 0.9154 0.3864 0.3499
```

=====

# 4
Material: GaAg2H
Method: DFT, GGA-PBE
State: relaxed

E (eV/atom): -2.52
DOS at the Fermi energy (states/eV/cell): 1.28
Space-group type: Fm-3m

CIF file:
```
data_GaAg2H
_chemical_formula_sum 'Ga1 Ag2 H1'
_cell_length_a 4.4054
_cell_length_b 4.4054
_cell_length_c 4.4054
_cell_angle_alpha 60.00
_cell_angle_beta 60.00
_cell_angle_gamma 60.00
_symmetry_space_group_name_H-M 'P 1'
_symmetry_Int_Tables_number 1
loop_
_symmetry_equiv_pos_as_xyz
'x,y,z'
loop_
_atom_site_label
_atom_site_type_symbol
_atom_site_fract_x
_atom_site_fract_y
_atom_site_fract_z
Ga1 Ga 0.0000 0.0000 0.0000
Ag1 Ag 0.2500 0.2500 0.2500
Ag2 Ag 0.7500 0.7500 0.7500
H1 H 0.5000 0.5000 0.5000
```

=====

# 5
Material: NdDy2Y9
Method: DFT, GGA-PBE
State: relaxed

E (eV/atom): -5.99
DOS at the Fermi energy (states/eV/cell): 18.07
Formation enthalpy at 0 K (eV per atom): 0.024
Space-group type: P4/mmm

CIF file:
```
data_NdDy2Y9
_chemical_formula_sum 'Nd1 Dy2 Y9'
_cell_length_a 5.0574
_cell_length_b 5.0574
_cell_length_c 15.1755
_cell_angle_alpha 90.00
_cell_angle_beta 90.00
_cell_angle_gamma 90.00
_symmetry_space_group_name_H-M 'P 1'
_symmetry_Int_Tables_number 1
loop_
_symmetry_equiv_pos_as_xyz
'x,y,z'
loop_
_atom_site_label
_atom_site_type_symbol
_atom_site_fract_x
_atom_site_fract_y
_atom_site_fract_z
Nd1 Nd 0.0000 0.0000 0.0000
Dy1 Dy 0.0000 0.0000 0.3341
Dy2 Dy 0.0000 0.0000 0.6659
Y1 Y 0.0000 0.5000 0.1687
Y2 Y 0.0000 0.5000 0.5000
Y3 Y 0.0000 0.5000 0.8313
Y4 Y 0.5000 0.0000 0.1687
Y5 Y 0.5000 0.0000 0.5000
Y6 Y 0.5000 0.0000 0.8313
Y7 Y 0.5000 0.5000 0.0000
Y8 Y 0.5000 0.5000 0.3347
Y9 Y 0.5000 0.5000 0.6653
```

=====

# 6
Material: CsLi3Np4S12
Method: DFT, GGA-PBE
State: relaxed

Raw formation energy (eV/atom): -1.08
E (eV/atom): -6.48
DOS at the Fermi energy (states/eV/cell): 30.83
Space-group type: Im-3

CIF file:
```
data_CsLi3Np4S12
_chemical_formula_sum 'Cs1 Li3 Np4 S12'
_cell_length_a 8.5583
_cell_length_b 8.5583
_cell_length_c 8.5583
_cell_angle_alpha 109.47
_cell_angle_beta 109.47
_cell_angle_gamma 109.47
_symmetry_space_group_name_H-M 'P 1'
_symmetry_Int_Tables_number 1
loop_
_symmetry_equiv_pos_as_xyz
'x,y,z'
loop_
_atom_site_label
_atom_site_type_symbol
_atom_site_fract_x
_atom_site_fract_y
_atom_site_fract_z
Cs1 Cs 0.0000 0.0000 0.0000
Li1 Li 0.0000 0.5000 0.5000
Li2 Li 0.5000 0.0000 0.5000
Li3 Li 0.5000 0.5000 0.0000
Np1 Np 0.0000 0.0000 0.5000
Np2 Np 0.0000 0.5000 0.0000
Np3 Np 0.5000 0.0000 0.0000
Np4 Np 0.5000 0.5000 0.5000
S1 S 0.1202 0.8130 0.3072
S2 S 0.1870 0.3072 0.4943
S3 S 0.1870 0.6928 0.8798
S4 S 0.3072 0.1202 0.8130
S5 S 0.3072 0.4943 0.1870
S6 S 0.4943 0.1870 0.3072
S7 S 0.5057 0.8130 0.6928
S8 S 0.6928 0.5057 0.8130
S9 S 0.6928 0.8798 0.1870
S10 S 0.8130 0.3072 0.1202
S11 S 0.8130 0.6928 0.5057
S12 S 0.8798 0.1870 0.6928
```

=====

# 7
Material: CaMg2ReAs
Method: DFT, GGA-PBE
State: relaxed

E (eV/atom): -2.67
DOS at the Fermi energy (states/eV/cell): 4.47
Formation enthalpy at 0 K (eV per atom): 1.790
Space-group type: P4/mmm

CIF file:
```
data_CaMg2ReAs
_chemical_formula_sum 'Ca1 Mg2 Re1 As1'
_cell_length_a 5.6064
_cell_length_b 5.6064
_cell_length_c 5.1680
_cell_angle_alpha 90.00
_cell_angle_beta 90.00
_cell_angle_gamma 90.00
_symmetry_space_group_name_H-M 'P 1'
_symmetry_Int_Tables_number 1
loop_
_symmetry_equiv_pos_as_xyz
'x,y,z'
loop_
_atom_site_label
_atom_site_type_symbol
_atom_site_fract_x
_atom_site_fract_y
_atom_site_fract_z
Ca1 Ca 0.0000 0.0000 0.0000
Mg1 Mg 0.0000 0.5000 0.0000
Mg2 Mg 0.5000 0.0000 0.0000
Re1 Re 0.5000 0.5000 0.5000
As1 As 0.0000 0.0000 0.5000
```

=====

# 8
Material: Ce6RhSe5
Method: DFT, GGA-PBE
State: relaxed

Raw formation energy (eV/atom): -1.60
E (eV/atom): -6.63
DOS at the Fermi energy (states/eV/cell): 34.73
Space-group type: C2/m

CIF file:
```
data_Ce6RhSe5
_chemical_formula_sum 'Ce6 Rh1 Se5'
_cell_length_a 7.2612
_cell_length_b 7.2612
_cell_length_c 7.2472
_cell_angle_alpha 99.67
_cell_angle_beta 99.67
_cell_angle_gamma 119.82
_symmetry_space_group_name_H-M 'P 1'
_symmetry_Int_Tables_number 1
loop_
_symmetry_equiv_pos_as_xyz
'x,y,z'
loop_
_atom_site_label
_atom_site_type_symbol
_atom_site_fract_x
_atom_site_fract_y
_atom_site_fract_z
Ce1 Ce 0.0799 0.4021 0.7413
Ce2 Ce 0.2407 0.2407 0.2525
Ce3 Ce 0.4021 0.0799 0.7413
Ce4 Ce 0.5979 0.9201 0.2587
Ce5 Ce 0.7593 0.7593 0.7475
Ce6 Ce 0.9201 0.5979 0.2587
Rh1 Rh 0.0000 0.0000 0.5000
Se1 Se 0.1729 0.8271 0.0000
Se2 Se 0.3344 0.6656 0.5000
Se3 Se 0.5000 0.5000 0.0000
Se4 Se 0.6656 0.3344 0.5000
Se5 Se 0.8271 0.1729 0.0000
```